(1)
# Gd2TcHg PBE optimized geometry
# electronic total energy: -9.830 eV/atom
data_Gd2TcHg
_chemical_formula_sum 'Gd2 Tc1 Hg1'
_cell_length_a 5.082
_cell_length_b 5.082
_cell_length_c 5.082
_cell_angle_alpha 60.00
_cell_angle_beta 60.00
_cell_angle_gamma 60.00
_space_group_name_H-M_alt 'P 1'
_space_group_IT_number 1
_space_group_name_Hall 'P 1'
loop_
_atom_site_label
_atom_site_type_symbol
_atom_site_fract_x
_atom_site_fract_y
_atom_site_fract_z
Gd1 Gd 0.250 0.250 0.250
Gd2 Gd 0.750 0.750 0.750
Tc1 Tc 0.000 0.000 0.000
Hg1 Hg 0.500 0.500 0.500

***

(2)
# Gd2TcHg PBE optimized geometry
# electronic total energy: -9.943 eV/atom
data_Gd2TcHg
_chemical_formula_sum 'Gd2 Tc1 Hg1'
_cell_length_a 3.525
_cell_length_b 3.525
_cell_length_c 7.594
_cell_angle_alpha 90.00
_cell_angle_beta 90.00
_cell_angle_gamma 90.00
_space_group_name_H-M_alt 'P 1'
_space_group_IT_number 1
_space_group_name_Hall 'P 1'
loop_
_atom_site_label
_atom_site_type_symbol
_atom_site_fract_x
_atom_site_fract_y
_atom_site_fract_z
Gd1 Gd 0.000 0.000 0.218
Gd2 Gd 0.000 0.000 0.782
Tc1 Tc 0.500 0.500 0.000
Hg1 Hg 0.500 0.500 0.500

***

(3)
# GdThTcHg PBE optimized geometry
# electronic total energy: -8.133 eV/atom
data_GdThTcHg
_chemical_formula_sum 'Gd1 Th1 Tc1 Hg1'
_cell_length_a 5.166
_cell_length_b 5.166
_cell_length_c 5.166
_cell_angle_alpha 60.00
_cell_angle_beta 60.00
_cell_angle_gamma 60.00
_space_group_name_H-M_alt 'P 1'
_space_group_IT_number 1
_space_group_name_Hall 'P 1'
loop_
_atom_site_label
_atom_site_type_symbol
_atom_site_fract_x
_atom_site_fract_y
_atom_site_fract_z
Gd1 Gd 0.000 0.000 0.000
Th1 Th 0.500 0.500 0.500
Tc1 Tc 0.250 0.250 0.250
Hg1 Hg 0.750 0.750 0.750

***

(4)
# GdHg2Te PBE optimized geometry
# formation energy from raw total energies: 105 meV per atom
data_GdHg2Te
_chemical_formula_sum 'Gd1 Hg2 Te1'
_cell_length_a 11.656
_cell_length_b 11.656
_cell_length_c 11.656
_cell_angle_alpha 17.25
_cell_angle_beta 17.25
_cell_angle_gamma 17.25
_space_group_name_H-M_alt 'P 1'
_space_group_IT_number 1
_space_group_name_Hall 'P 1'
loop_
_atom_site_label
_atom_site_type_symbol
_atom_site_fract_x
_atom_site_fract_y
_atom_site_fract_z
Gd1 Gd 0.000 0.000 0.000
Hg1 Hg 0.089 0.089 0.089
Hg2 Hg 0.911 0.911 0.911
Te1 Te 0.500 0.500 0.500

***

(5)
# GdHgTe2 PBE optimized geometry
# formation energy from raw total energies: 8 meV per atom
data_GdHgTe2
_chemical_formula_sum 'Gd1 Hg1 Te2'
_cell_length_a 13.468
_cell_length_b 13.468
_cell_length_c 13.468
_cell_angle_alpha 14.72
_cell_angle_beta 14.72
_cell_angle_gamma 14.72
_space_group_name_H-M_alt 'P 1'
_space_group_IT_number 1
_space_group_name_Hall 'P 1'
loop_
_atom_site_label
_atom_site_type_symbol
_atom_site_fract_x
_atom_site_fract_y
_atom_site_fract_z
Gd1 Gd 0.000 0.000 0.000
Hg1 Hg 0.500 0.500 0.500
Te1 Te 0.076 0.076 0.076
Te2 Te 0.924 0.924 0.924

***

(6)
# Gd2HgTe PBE optimized geometry
# formation energy from raw total energies: -883 meV per atom
data_Gd2HgTe
_chemical_formula_sum 'Gd2 Hg1 Te1'
_cell_length_a 8.182
_cell_length_b 8.182
_cell_length_c 8.182
_cell_angle_alpha 29.80
_cell_angle_beta 29.80
_cell_angle_gamma 29.80
_space_group_name_H-M_alt 'P 1'
_space_group_IT_number 1
_space_group_name_Hall 'P 1'
loop_
_atom_site_label
_atom_site_type_symbol
_atom_site_fract_x
_atom_site_fract_y
_atom_site_fract_z
Gd1 Gd 0.250 0.250 0.250
Gd2 Gd 0.750 0.750 0.750
Hg1 Hg 0.000 0.000 0.000
Te1 Te 0.500 0.500 0.500

***

(7)
# Gd2HgTe PBE optimized geometry
# formation energy from raw total energies: -835 meV per atom
data_Gd2HgTe
_chemical_formula_sum 'Gd2 Hg1 Te1'
_cell_length_a 3.859
_cell_length_b 3.859
_cell_length_c 7.316
_cell_angle_alpha 90.00
_cell_angle_beta 90.00
_cell_angle_gamma 90.00
_space_group_name_H-M_alt 'P 1'
_space_group_IT_number 1
_space_group_name_Hall 'P 1'
loop_
_atom_site_label
_atom_site_type_symbol
_atom_site_fract_x
_atom_site_fract_y
_atom_site_fract_z
Gd1 Gd 0.000 0.000 0.249
Gd2 Gd 0.000 0.000 0.751
Hg1 Hg 0.500 0.500 0.500
Te1 Te 0.500 0.500 0.000

***

(8)
# Gd2ThHg PBE optimized geometry
# electronic total energy: -8.890 eV/atom
data_Gd2ThHg
_chemical_formula_sum 'Gd2 Th1 Hg1'
_cell_length_a 12.040
_cell_length_b 12.040
_cell_length_c 12.040
_cell_angle_alpha 17.00
_cell_angle_beta 17.00
_cell_angle_gamma 17.00
_space_group_name_H-M_alt 'P 1'
_space_group_IT_number 1
_space_group_name_Hall 'P 1'
loop_
_atom_site_label
_atom_site_type_symbol
_atom_site_fract_x
_atom_site_fract_y
_atom_site_fract_z
Gd1 Gd 0.089 0.089 0.089
Gd2 Gd 0.911 0.911 0.911
Th1 Th 0.500 0.500 0.500
Hg1 Hg 0.000 0.000 0.000